No. 1
Ca3HfTa3N8: optimized geometry, PBE.

Lattice parameters (Å, degrees): 6.7197 6.7197 6.7197 56.23 56.23 56.23
Element x y z (fractional)
Ca (0.0000, 0.5000, 0.5000)
Ca (0.5000, 0.0000, 0.5000)
Ca (0.5000, 0.5000, 0.0000)
Hf (0.5000, 0.5000, 0.5000)
Ta (0.0000, 0.0000, 0.5000)
Ta (0.0000, 0.5000, 0.0000)
Ta (0.5000, 0.0000, 0.0000)
N (0.2268, 0.7367, 0.7367)
N (0.2379, 0.2379, 0.2379)
N (0.2633, 0.2633, 0.7732)
N (0.2633, 0.7732, 0.2633)
N (0.7367, 0.2268, 0.7367)
N (0.7367, 0.7367, 0.2268)
N (0.7621, 0.7621, 0.7621)
N (0.7732, 0.2633, 0.2633)

Calculated total energy: -137.11 eV/cell
SG: R-3m, No. 166
E_form (uncorrected): -1.266 eV per atom
Total moment: 0.00 μB per cell



No. 2
CaHfTcN3: optimized geometry, PBE.

Lattice parameters (Å, degrees): 6.5295 3.1343 8.8656 90.00 100.13 90.00
Element x y z (fractional)
Ca (0.1973, 0.2500, 0.2311)
Ca (0.8027, 0.7500, 0.7689)
Hf (0.3363, 0.7500, 0.8842)
Hf (0.6637, 0.2500, 0.1158)
Tc (0.1186, 0.2500, 0.5865)
Tc (0.8814, 0.7500, 0.4135)
N (0.1147, 0.2500, 0.8208)
N (0.1959, 0.7500, 0.4546)
N (0.4215, 0.7500, 0.1199)
N (0.5785, 0.2500, 0.8801)
N (0.8041, 0.2500, 0.5454)
N (0.8853, 0.7500, 0.1792)

Calculated total energy: -105.14 eV/cell
SG: P2_1/m, No. 11
E_form (uncorrected): -0.879 eV per atom
Total moment: 0.00 μB per cell



No. 3
Ca3HfTh2N6: optimized geometry, PBE.

Lattice parameters (Å, degrees): 7.9672 7.9672 7.0600 102.18 102.18 25.63
Element x y z (fractional)
Ca (0.0000, 0.0000, 0.0000)
Ca (0.3437, 0.3437, 0.6710)
Ca (0.6563, 0.6563, 0.3290)
Hf (0.0000, 0.0000, 0.5000)
Th (0.3364, 0.3364, 0.1785)
Th (0.6636, 0.6636, 0.8215)
N (0.1463, 0.1463, 0.5774)
N (0.1696, 0.1696, 0.0667)
N (0.4960, 0.4960, 0.2801)
N (0.5040, 0.5040, 0.7199)
N (0.8304, 0.8304, 0.9333)
N (0.8537, 0.8537, 0.4226)

Calculated total energy: -97.97 eV/cell
SG: C2/m, No. 12
E_form (uncorrected): -1.435 eV per atom
Total moment: 0.00 μB per cell



No. 4
CaHfTi2N4: optimized geometry, PBE.

Lattice parameters (Å, degrees): 6.3086 6.3086 6.3086 120.68 119.26 90.05
Element x y z (fractional)
Ca (0.5000, 0.0000, 0.0000)
Ca (0.5000, 0.5000, 0.5000)
Hf (0.0000, 0.0000, 0.0000)
Hf (0.5000, 0.0000, 0.5000)
Ti (0.0000, 0.0000, 0.5000)
Ti (0.0000, 0.5000, 0.0000)
Ti (0.0000, 0.5000, 0.5000)
Ti (0.5000, 0.5000, 0.0000)
N (0.2228, 0.7483, 0.4745)
N (0.2262, 0.2517, 0.9745)
N (0.2396, 0.2433, 0.5037)
N (0.2396, 0.7359, 0.9963)
N (0.7604, 0.2641, 0.0037)
N (0.7604, 0.7567, 0.4963)
N (0.7738, 0.7483, 0.0255)
N (0.7772, 0.2517, 0.5255)

Calculated total energy: -146.92 eV/cell
SG: Imma, No. 74
E_form (uncorrected): -1.552 eV per atom
Total moment: 0.00 μB per cell



Question: Look up the E_form (uncorrected) of the third one.
Answer: -1.435 eV per atom